(1)
Material: PmZn4Ni
Method: DFT, PBE-GGA
State: relaxed

a = 4.470 Å, b = 4.470 Å, c = 6.792 Å
α = 89.98°, β = 90.05°, γ = 90.00°
Element x y z (fractional)
Zn (0.500, 0.500, 0.500)
Zn (0.000, 0.500, 0.829)
Zn (0.000, 0.000, 0.500)
Zn (0.000, 0.500, 0.171)
Pm (0.500, 0.000, 0.000)
Ni (0.000, 0.500, 0.500)

Output
Energy of formation = 132 meV/atom
Energy relative to the lowest polymorph listed for this composition = 42.25 kJ per mole of atoms
Fermi-level density of states = 5.45 states/eV per cell
Uncorrected energy = -14.83 eV/cell
Size of the total moment = 0.00 Bohr magnetons per cell


(2)
Material: PmZn7Ni5
Method: DFT, PBE-GGA
State: relaxed

a = 5.032 Å, b = 6.557 Å, c = 6.557 Å
α = 81.81°, β = 67.44°, γ = 67.44°
Element x y z (fractional)
Zn (0.502, 0.782, 0.214)
Zn (0.989, 0.359, 0.663)
Zn (0.663, 0.337, 0.337)
Zn (0.352, 0.648, 0.648)
Zn (0.989, 0.663, 0.359)
Zn (0.502, 0.214, 0.782)
Zn (0.271, 0.229, 0.229)
Ni (0.725, 0.775, 0.775)
Ni (0.497, 0.002, 0.502)
Ni (0.000, 0.502, 0.002)
Ni (0.497, 0.502, 0.002)
Ni (0.000, 0.002, 0.502)
Pm (0.015, 0.985, 0.985)

Output
Energy of formation = -287 meV/atom
Fermi-level density of states = 6.37 states/eV per cell
Uncorrected energy = -46.30 eV/cell
Size of the total moment = 0.00 Bohr magnetons per cell


(3)
Material: Pm2Zn2Ni3
Method: DFT, PBE-GGA
State: relaxed

a = 4.218 Å, b = 5.527 Å, c = 6.638 Å
α = 116.38°, β = 90.00°, γ = 112.43°
Element x y z (fractional)
Zn (0.884, 0.767, 0.775)
Zn (0.116, 0.233, 0.225)
Ni (0.585, 0.171, 0.411)
Ni (0.500, 0.000, 0.000)
Ni (0.415, 0.829, 0.589)
Pm (0.167, 0.334, 0.745)
Pm (0.833, 0.666, 0.255)

Output
Energy of formation = -303 meV/atom
Fermi-level density of states = 5.19 states/eV per cell
Uncorrected energy = -31.51 eV/cell
Size of the total moment = 0.00 Bohr magnetons per cell


(4)
Material: Pm2ZnNi
Method: DFT, PBE-GGA
State: relaxed

a = 4.497 Å, b = 5.946 Å, c = 7.628 Å
α = 113.39°, β = 90.00°, γ = 90.00°
Element x y z (fractional)
Zn (0.250, 0.340, 0.212)
Zn (0.750, 0.660, 0.788)
Pm (0.750, 0.209, 0.429)
Pm (0.750, 0.239, 0.918)
Pm (0.250, 0.761, 0.082)
Pm (0.250, 0.791, 0.571)
Ni (0.250, 0.389, 0.715)
Ni (0.750, 0.611, 0.285)

Output
Energy of formation = -308 meV/atom
Energy relative to the lowest polymorph listed for this composition = 0.00 kJ per mole of atoms
Fermi-level density of states = 6.19 states/eV per cell
Uncorrected energy = -35.58 eV/cell
Size of the total moment = 0.00 Bohr magnetons per cell


(5)
Material: Pm3Zn2Ni2
Method: DFT, PBE-GGA
State: relaxed

a = 3.911 Å, b = 5.791 Å, c = 7.806 Å
α = 108.72°, β = 90.00°, γ = 109.73°
Element x y z (fractional)
Pm (0.309, 0.617, 0.329)
Pm (0.500, 0.000, 0.000)
Pm (0.691, 0.383, 0.671)
Ni (0.813, 0.626, 0.069)
Ni (0.187, 0.374, 0.931)
Zn (0.027, 0.054, 0.339)
Zn (0.973, 0.946, 0.661)

Output
Energy of formation = -342 meV/atom
Fermi-level density of states = 6.46 states/eV per cell
Uncorrected energy = -30.76 eV/cell
Size of the total moment = 0.00 Bohr magnetons per cell


(6)
Material: Pm2ZnNi3
Method: DFT, PBE-GGA
State: relaxed

a = 5.658 Å, b = 5.658 Å, c = 8.131 Å
α = 108.72°, β = 108.72°, γ = 94.45°
Element x y z (fractional)
Pm (0.250, 0.750, 0.500)
Pm (0.753, 0.753, 0.000)
Pm (0.247, 0.247, 0.000)
Pm (0.750, 0.250, 0.500)
Ni (0.835, 0.835, 0.670)
Ni (0.836, 0.329, 0.165)
Ni (0.165, 0.165, 0.330)
Ni (0.329, 0.836, 0.165)
Ni (0.164, 0.671, 0.835)
Ni (0.671, 0.164, 0.835)
Zn (0.334, 0.334, 0.668)
Zn (0.666, 0.666, 0.332)

Output
Energy of formation = -336 meV/atom
Energy relative to the lowest polymorph listed for this composition = 2.02 kJ per mole of atoms
Fermi-level density of states = 11.16 states/eV per cell
Uncorrected energy = -60.27 eV/cell
Size of the total moment = 0.00 Bohr magnetons per cell


(7)
Material: Pm4ZnNi
Method: DFT, PBE-GGA
State: relaxed

a = 9.652 Å, b = 9.652 Å, c = 9.652 Å
α = 60.00°, β = 60.00°, γ = 60.00°
Element x y z (fractional)
Zn (0.172, 0.172, 0.172)
Zn (0.484, 0.172, 0.172)
Zn (0.172, 0.172, 0.484)
Zn (0.172, 0.484, 0.172)
Pm (0.556, 0.944, 0.556)
Pm (0.813, 0.187, 0.187)
Pm (0.803, 0.399, 0.399)
Pm (0.556, 0.556, 0.944)
Pm (0.556, 0.944, 0.944)
Pm (0.187, 0.813, 0.813)
Pm (0.944, 0.556, 0.944)
Pm (0.187, 0.187, 0.813)
Pm (0.944, 0.556, 0.556)
Pm (0.399, 0.399, 0.399)
Pm (0.399, 0.399, 0.803)
Pm (0.187, 0.813, 0.187)
Pm (0.813, 0.813, 0.187)
Pm (0.399, 0.803, 0.399)
Pm (0.813, 0.187, 0.813)
Pm (0.944, 0.944, 0.556)
Ni (0.607, 0.607, 0.607)
Ni (0.607, 0.179, 0.607)
Ni (0.179, 0.607, 0.607)
Ni (0.607, 0.607, 0.179)

Output
Energy of formation = -221 meV/atom
Energy relative to the lowest polymorph listed for this composition = 0.00 kJ per mole of atoms
Fermi-level density of states = 19.73 states/eV per cell
Uncorrected energy = -109.52 eV/cell
Size of the total moment = 0.00 Bohr magnetons per cell


(8)
Material: Pm2ZnNi2
Method: DFT, PBE-GGA
State: relaxed

a = 4.312 Å, b = 5.436 Å, c = 5.436 Å
α = 60.10°, β = 66.63°, γ = 66.63°
Element x y z (fractional)
Ni (0.000, 0.766, 0.734)
Ni (0.000, 0.234, 0.266)
Pm (0.299, 0.201, 0.701)
Pm (0.701, 0.799, 0.299)
Zn (0.500, 0.500, 0.000)

Output
Energy of formation = -382 meV/atom
Energy relative to the lowest polymorph listed for this composition = 0.00 kJ per mole of atoms
Fermi-level density of states = 3.80 states/eV per cell
Uncorrected energy = -24.25 eV/cell
Size of the total moment = 0.00 Bohr magnetons per cell


(9)
Material: Pm3Zn2Ni3
Method: DFT, PBE-GGA
State: relaxed

a = 3.979 Å, b = 6.141 Å, c = 13.778 Å
α = 90.00°, β = 90.00°, γ = 108.90°
Element x y z (fractional)
Zn (0.780, 0.560, 0.920)
Zn (0.220, 0.440, 0.080)
Zn (0.220, 0.440, 0.420)
Zn (0.780, 0.560, 0.580)
Ni (0.328, 0.656, 0.250)
Ni (0.672, 0.344, 0.750)
Ni (0.597, 0.194, 0.461)
Ni (0.597, 0.194, 0.039)
Ni (0.403, 0.806, 0.961)
Ni (0.403, 0.806, 0.539)
Pm (0.922, 0.844, 0.110)
Pm (0.350, 0.701, 0.750)
Pm (0.650, 0.299, 0.250)
Pm (0.922, 0.844, 0.390)
Pm (0.078, 0.156, 0.610)
Pm (0.078, 0.156, 0.890)

Output
Energy of formation = -372 meV/atom
Energy relative to the lowest polymorph listed for this composition = 0.00 kJ per mole of atoms
Fermi-level density of states = 10.58 states/eV per cell
Uncorrected energy = -74.24 eV/cell
Size of the total moment = 0.00 Bohr magnetons per cell


(10)
Material: Pm8ZnNi2
Method: DFT, PBE-GGA
State: relaxed

a = 5.593 Å, b = 8.016 Å, c = 8.016 Å
α = 115.53°, β = 98.18°, γ = 98.18°
Element x y z (fractional)
Pm (0.575, 0.338, 0.085)
Pm (0.575, 0.085, 0.338)
Pm (0.424, 0.921, 0.668)
Pm (0.000, 0.243, 0.763)
Pm (0.187, 0.388, 0.388)
Pm (0.000, 0.763, 0.243)
Pm (0.812, 0.618, 0.618)
Pm (0.424, 0.668, 0.921)
Ni (0.500, 0.301, 0.705)
Ni (0.500, 0.705, 0.301)
Zn (0.003, 0.003, 0.003)

Output
Energy of formation = -56 meV/atom
Energy relative to the lowest polymorph listed for this composition = 9.82 kJ per mole of atoms
Fermi-level density of states = 13.53 states/eV per cell
Uncorrected energy = -51.45 eV/cell
Size of the total moment = 0.00 Bohr magnetons per cell


(11)
Material: Pm2Zn5Ni5
Method: DFT, PBE-GGA
State: relaxed

a = 4.071 Å, b = 5.184 Å, c = 8.905 Å
α = 90.00°, β = 90.00°, γ = 90.00°
Element x y z (fractional)
Zn (0.500, 0.500, 0.500)
Zn (0.500, 0.753, 0.756)
Zn (0.500, 0.247, 0.756)
Zn (0.500, 0.247, 0.244)
Zn (0.500, 0.753, 0.244)
Ni (0.500, 0.000, 0.000)
Ni (0.000, 0.500, 0.667)
Ni (0.000, 0.500, 0.333)
Ni (0.000, 0.000, 0.840)
Ni (0.000, 0.000, 0.160)
Pm (0.000, 0.500, 0.000)
Pm (0.000, 0.000, 0.500)

Output
Energy of formation = -372 meV/atom
Energy relative to the lowest polymorph listed for this composition = 0.00 kJ per mole of atoms
Fermi-level density of states = 7.12 states/eV per cell
Uncorrected energy = -49.24 eV/cell
Size of the total moment = 0.00 Bohr magnetons per cell


(12)
Material: Pm2ZnNi
Method: DFT, PBE-GGA
State: relaxed

a = 5.049 Å, b = 5.049 Å, c = 5.049 Å
α = 60.00°, β = 60.00°, γ = 60.00°
Element x y z (fractional)
Pm (0.750, 0.750, 0.750)
Pm (0.250, 0.250, 0.250)
Zn (0.000, 0.000, 0.000)
Ni (0.500, 0.500, 0.500)

Output
Energy of formation = -260 meV/atom
Energy relative to the lowest polymorph listed for this composition = 4.68 kJ per mole of atoms
Fermi-level density of states = 3.10 states/eV per cell
Uncorrected energy = -17.60 eV/cell
Size of the total moment = 0.00 Bohr magnetons per cell